Record 1
# Nd8HoSc5 PBE relaxed
data_Nd8HoSc5
_space_group_name_H-M_alt 'I -4'
_space_group_IT_number 82
_cell_length_a 9.439
_cell_length_b 9.439
_cell_length_c 10.059
_cell_angle_alpha 90.00
_cell_angle_beta 90.00
_cell_angle_gamma 90.00
loop_
_space_group_symop_operation_xyz
'x,y,z'
'y,-x,-z'
'-x,-y,z'
'-y,x,-z'
'x+1/2,y+1/2,z+1/2'
'y+1/2,-x+1/2,-z+1/2'
'-x+1/2,-y+1/2,z+1/2'
'-y+1/2,x+1/2,-z+1/2'
loop_
_atom_site_label
_atom_site_fract_x
_atom_site_fract_y
_atom_site_fract_z
Nd1 0.068 0.172 0.341
Nd2 0.095 0.326 0.001
Ho1 0.000 0.000 0.000
Sc1 0.000 0.500 0.250
Sc2 0.107 0.303 0.679
# VASP energy   -5.049 eV per atom



Record 2
# Pr4Dy5Th4 PBE relaxed
data_Pr4Dy5Th4
_space_group_name_H-M_alt 'I 4/m'
_space_group_IT_number 87
_space_group_name_Hall '-I 4'
_cell_length_a 13.031
_cell_length_b 13.031
_cell_length_c 5.089
_cell_angle_alpha 90.00
_cell_angle_beta 90.00
_cell_angle_gamma 90.00
loop_
_atom_site_label
_atom_site_fract_x
_atom_site_fract_y
_atom_site_fract_z
Pr1 0.152 0.767 0.000
Dy1 0.000 0.000 0.000
Dy2 0.038 0.195 0.500
Th1 0.075 0.389 0.000
# VASP energy   -5.483 eV per atom



Record 3
# NaRe2O6 PBE relaxed
data_NaRe2O6
_space_group_name_H-M_alt 'C 1 2/m 1'
_space_group_IT_number 12
_cell_length_a 9.574
_cell_length_b 3.969
_cell_length_c 7.198
_cell_angle_alpha 90.00
_cell_angle_beta 113.87
_cell_angle_gamma 90.00
loop_
_space_group_symop_operation_xyz
'x,y,z'
'-x,-y,-z'
'-x,y,-z'
'x,-y,z'
'x+1/2,y+1/2,z'
'-x+1/2,-y+1/2,-z'
'-x+1/2,y+1/2,-z'
'x+1/2,-y+1/2,z'
loop_
_atom_site_label
_atom_site_fract_x
_atom_site_fract_y
_atom_site_fract_z
Na1 0.000 0.000 0.000
Re1 0.180 0.000 0.613
O1 0.002 0.000 0.668
O2 0.175 0.500 0.140
O3 0.196 0.500 0.564
# Formation energy (no corrections)   -1.4784 eV/atom



Record 4
# PuCl2O2F2 PBE relaxed
data_PuCl2O2F2
_space_group_name_H-M_alt 'C 1 2/m 1'
_space_group_IT_number 12
_cell_length_a 11.218
_cell_length_b 4.312
_cell_length_c 7.285
_cell_angle_alpha 90.00
_cell_angle_beta 123.63
_cell_angle_gamma 90.00
loop_
_space_group_symop_operation_xyz
'x,y,z'
'-x,-y,-z'
'-x,y,-z'
'x,-y,z'
'x+1/2,y+1/2,z'
'-x+1/2,-y+1/2,-z'
'-x+1/2,y+1/2,-z'
'x+1/2,-y+1/2,z'
loop_
_atom_site_label
_atom_site_fract_x
_atom_site_fract_y
_atom_site_fract_z
Pu1 0.000 0.000 0.000
Cl1 0.087 0.500 0.273
O1 0.051 0.000 0.598
F1 0.201 0.000 0.073
# Formation energy (no corrections)   -1.6732 eV/atom